1.
Here is a relaxed SrRuPt crystal from the Alexandria database. Energies are from GGA-PBE.

a b c (Å): 4.7096 4.7096 4.7096
angles (deg): 60.00 60.00 60.00
Site moments in Bohr magnetons follow the coordinates.
Atoms (fractional coordinates):
1 Ru 0.0000 0.0000 0.0000  1.89
2 Pt 0.7500 0.7500 0.7500  0.39
3 Sr 0.5000 0.5000 0.5000  -0.01

Its symmetry is F-43m (216). The volume comes out at 24.62 Å³/atom. Its polymorph energy (0 for the lowest one) is 511 meV per atom.

=====

2.
Here is a relaxed SrRuPt2 crystal from the Alexandria database. Energies are from GGA-PBE.

a b c (Å): 3.2329 3.2329 7.4846
angles (deg): 90.00 90.00 90.00
Atoms (fractional coordinates):
1 Pt 0.0000 0.0000 0.0488
2 Pt 0.5000 0.5000 0.2618
3 Ru 0.0000 0.0000 0.4352
4 Sr 0.5000 0.5000 0.7542

Its symmetry is P4mm (99). The volume comes out at 19.56 Å³/atom. Its polymorph energy (0 for the lowest one) is 167 meV per atom.

=====

| no. | formation enthalpy at 0 K (eV per atom) |
| --- | --- |
| 1 | 0.461 |
| 2 | 0.153 |